! SmTh3H8, relaxed, DFT PBE; values from VASP
! - crystal system = cubic
! - spin magnetization (μB/f.u.) = 0.0
! - electronic total energy (eV/f.u.) = -60.49
&SYSTEM
  ibrav = 0, nat = 12, ntyp = 3
/
ATOMIC_SPECIES
Sm 150.36 Sm.upf
Th 232.04 Th.upf
H 1.01 H.upf
CELL_PARAMETERS angstrom
5.436 0.000 0.000
0.000 5.436 0.000
0.000 0.000 5.436
ATOMIC_POSITIONS crystal
Sm 0.000 0.000 0.000
Th 0.000 0.500 0.500
Th 0.500 0.000 0.500
Th 0.500 0.500 0.000
H 0.248 0.248 0.248
H 0.248 0.248 0.752
H 0.248 0.752 0.248
H 0.248 0.752 0.752
H 0.752 0.248 0.248
H 0.752 0.248 0.752
H 0.752 0.752 0.248
H 0.752 0.752 0.752


! VPRu2, relaxed, DFT PBE; values from VASP
! - calculated formation energy (eV per atom) = -0.31
! - crystal system = tetragonal
! - spin magnetization (μB/f.u.) = 0.9
! - electronic total energy (eV/f.u.) = -34.33
&SYSTEM
  ibrav = 0, nat = 4, ntyp = 3
/
ATOMIC_SPECIES
V 50.94 V.upf
P 30.97 P.upf
Ru 101.07 Ru.upf
CELL_PARAMETERS angstrom
2.874 0.000 0.000
0.000 2.874 0.000
0.000 0.000 6.385
ATOMIC_POSITIONS crystal
V 0.000 0.000 0.000
P 0.000 0.000 0.500
Ru 0.500 0.500 0.278
Ru 0.500 0.500 0.722


! LaDyZn, relaxed, DFT PBE; values from VASP
! - relative energy among the computed polymorphs (meV/atom) = 0
! - calculated formation energy (eV per atom) = -0.20
! - crystal system = tetragonal
! - spin magnetization (μB/f.u.) = 0.3
! - electronic total energy (eV/f.u.) = -11.40
&SYSTEM
  ibrav = 0, nat = 3, ntyp = 3
/
ATOMIC_SPECIES
La 138.91 La.upf
Dy 162.50 Dy.upf
Zn 65.41 Zn.upf
CELL_PARAMETERS angstrom
-1.841 1.841 6.230
1.841 -1.841 6.230
1.841 1.841 -6.230
ATOMIC_POSITIONS crystal
La 0.000 0.000 0.000
Dy 0.288 0.288 0.000
Zn 0.661 0.661 0.000


! CrP, relaxed, DFT PBE; values from VASP
! - calculated formation energy (eV per atom) = 0.23
! - crystal system = cubic
! - spin magnetization (μB/f.u.) = 0.0
! - electronic total energy (eV/f.u.) = -14.58
&SYSTEM
  ibrav = 0, nat = 4, ntyp = 2
/
ATOMIC_SPECIES
Cr 52.00 Cr.upf
P 30.97 P.upf
CELL_PARAMETERS angstrom
0.000 2.878 2.878
2.878 0.000 2.878
2.878 2.878 0.000
ATOMIC_POSITIONS crystal
Cr 0.125 0.125 0.125
Cr 0.875 0.875 0.875
P 0.375 0.375 0.375
P 0.625 0.625 0.625


> Number 4 is which compound?

CrP